Record 1
Compound: Pm2TmHg
Source: Alexandria
Functional: GGA-PBE
Structure: relaxed

Summary:
- Crystal system: tetragonal
- Relative energy among the computed polymorphs: 0.018 eV per atom
- Formation energy from the elements: -0.209 eV per atom

a = 3.685 Å, b = 3.685 Å, c = 8.880 Å
α = 90.00°, β = 90.00°, γ = 90.00°
Sites, in units of the cell vectors:
Pm (0.000, 0.000, 0.227)
Pm (0.000, 0.000, 0.773)
Tm (0.500, 0.500, 0.500)
Hg (0.500, 0.500, 0.000)

Record 2
Compound: Nb3HgH3
Source: Alexandria
Functional: GGA-PBE
Structure: relaxed

Summary:
- Crystal system: cubic
- DFT total energy: -5.91 eV per atom

a = 5.502 Å, b = 5.502 Å, c = 5.502 Å
α = 90.00°, β = 90.00°, γ = 90.00°
Sites, in units of the cell vectors:
Nb (0.000, 0.250, 0.500)
Nb (0.000, 0.750, 0.500)
Nb (0.250, 0.500, 0.000)
Nb (0.500, 0.000, 0.250)
Nb (0.500, 0.000, 0.750)
Nb (0.750, 0.500, 0.000)
Hg (0.000, 0.000, 0.000)
Hg (0.500, 0.500, 0.500)
H (0.000, 0.500, 0.250)
H (0.000, 0.500, 0.750)
H (0.250, 0.000, 0.500)
H (0.500, 0.250, 0.000)
H (0.500, 0.750, 0.000)
H (0.750, 0.000, 0.500)

Record 3
Compound: Tm2Co3Re
Source: Alexandria
Functional: GGA-PBE
Structure: relaxed

Summary:
- Crystal system: hexagonal
- Formation energy from the elements: -0.232 eV per atom

a = 5.174 Å, b = 5.174 Å, c = 8.063 Å
α = 90.00°, β = 90.00°, γ = 120.00°
Sites, in units of the cell vectors:
Tm (0.333, 0.667, 0.062)
Tm (0.333, 0.667, 0.438)
Tm (0.667, 0.333, 0.562)
Tm (0.667, 0.333, 0.938)
Co (0.168, 0.335, 0.750)
Co (0.168, 0.832, 0.750)
Co (0.335, 0.168, 0.250)
Co (0.665, 0.832, 0.750)
Co (0.832, 0.168, 0.250)
Co (0.832, 0.665, 0.250)
Re (0.000, 0.000, 0.000)
Re (0.000, 0.000, 0.500)

Record 4
Compound: BaLaBe2
Source: Alexandria
Functional: GGA-PBE
Structure: relaxed

Summary:
- Crystal system: monoclinic
- Relative energy among the computed polymorphs: 0.141 eV per atom
- Formation energy from the elements: 0.394 eV per atom

a = 3.846 Å, b = 3.845 Å, c = 7.376 Å
α = 90.00°, β = 90.06°, γ = 90.00°
Sites, in units of the cell vectors:
Ba (0.000, 0.000, 0.000)
La (0.000, 0.000, 0.500)
Be (0.499, 0.500, 0.324)
Be (0.501, 0.500, 0.676)

Record 5
Compound: TiAlZn2
Source: Alexandria
Functional: GGA-PBE
Structure: relaxed

Summary:
- Crystal system: tetragonal
- Formation energy from the elements: -0.314 eV per atom

a = 3.906 Å, b = 3.906 Å, c = 3.969 Å
α = 90.00°, β = 90.00°, γ = 90.00°
Sites, in units of the cell vectors:
Ti (0.000, 0.000, 0.000)
Al (0.500, 0.500, 0.000)
Zn (0.000, 0.500, 0.500)
Zn (0.500, 0.000, 0.500)

Record 6
Compound: Ti5Fe2CoRh2
Source: Alexandria
Functional: GGA-PBE
Structure: relaxed

Summary:
- Crystal system: tetragonal
- Formation energy from the elements: -0.263 eV per atom

a = 9.860 Å, b = 9.860 Å, c = 2.960 Å
α = 90.00°, β = 90.00°, γ = 90.00°
Sites, in units of the cell vectors:
Ti (0.000, 0.500, 0.000)
Ti (0.086, 0.191, 0.000)
Ti (0.191, 0.914, 0.000)
Ti (0.309, 0.414, 0.000)
Ti (0.414, 0.691, 0.000)
Ti (0.500, 0.000, 0.000)
Ti (0.586, 0.309, 0.000)
Ti (0.691, 0.586, 0.000)
Ti (0.809, 0.086, 0.000)
Ti (0.914, 0.809, 0.000)
Fe (0.131, 0.369, 0.500)
Fe (0.369, 0.869, 0.500)
Fe (0.631, 0.131, 0.500)
Fe (0.869, 0.631, 0.500)
Co (0.000, 0.000, 0.500)
Co (0.500, 0.500, 0.500)
Rh (0.167, 0.667, 0.500)
Rh (0.333, 0.167, 0.500)
Rh (0.667, 0.833, 0.500)
Rh (0.833, 0.333, 0.500)

Record 7
Compound: Mg2UPbO8
Source: Alexandria
Functional: GGA-PBE
Structure: relaxed

Summary:
- Crystal system: tetragonal
- E_form (uncorrected): -1.838 eV per atom

a = 5.965 Å, b = 5.965 Å, c = 5.965 Å
α = 112.58°, β = 112.58°, γ = 103.43°
Sites, in units of the cell vectors:
Mg (0.000, 0.000, 0.000)
Mg (0.750, 0.250, 0.500)
U (0.500, 0.500, 0.000)
Pb (0.250, 0.750, 0.500)
O (0.150, 0.450, 0.700)
O (0.211, 0.030, 0.820)
O (0.211, 0.391, 0.180)
O (0.550, 0.250, 0.700)
O (0.550, 0.850, 0.300)
O (0.609, 0.789, 0.820)
O (0.750, 0.450, 0.300)
O (0.970, 0.789, 0.180)

Record 8
Compound: RbVBSe6
Source: Alexandria
Functional: GGA-PBE
Structure: relaxed

Summary:
- Crystal system: triclinic
- E_form (uncorrected): -0.455 eV per atom

a = 5.139 Å, b = 6.534 Å, c = 8.112 Å
α = 89.03°, β = 87.43°, γ = 66.85°
Sites, in units of the cell vectors:
Rb (0.000, 0.000, 0.000)
V (0.713, 0.573, 0.500)
B (0.456, 0.087, 0.500)
Se (0.054, 0.490, 0.254)
Se (0.157, 0.300, 0.667)
Se (0.335, 0.875, 0.372)
Se (0.456, 0.490, 0.746)
Se (0.543, 0.299, 0.333)
Se (0.790, 0.876, 0.628)

Record 9
Compound: Tl2Sn2I
Source: Alexandria
Functional: GGA-PBE
Structure: relaxed

Summary:
- Crystal system: tetragonal
- Relative energy among the computed polymorphs: 0.000 eV per atom
- E_form (uncorrected): -0.102 eV per atom

a = 4.265 Å, b = 4.265 Å, c = 19.853 Å
α = 90.00°, β = 90.00°, γ = 90.00°
Sites, in units of the cell vectors:
Tl (0.000, 0.000, 0.098)
Tl (0.000, 0.000, 0.902)
Tl (0.500, 0.500, 0.402)
Tl (0.500, 0.500, 0.598)
Sn (0.000, 0.500, 0.250)
Sn (0.000, 0.500, 0.750)
Sn (0.500, 0.000, 0.250)
Sn (0.500, 0.000, 0.750)
I (0.000, 0.000, 0.500)
I (0.500, 0.500, 0.000)

Record 10
Compound: InMo2Br
Source: Alexandria
Functional: GGA-PBE
Structure: relaxed

Summary:
- Crystal system: cubic
- Relative energy among the computed polymorphs: 0.739 eV per atom
- E_form (uncorrected): 1.004 eV per atom

a = 6.599 Å, b = 6.599 Å, c = 6.599 Å
α = 90.00°, β = 90.00°, γ = 90.00°
Sites, in units of the cell vectors:
In (0.000, 0.000, 0.000)
In (0.000, 0.500, 0.500)
In (0.500, 0.000, 0.500)
In (0.500, 0.500, 0.000)
Mo (0.250, 0.250, 0.250)
Mo (0.250, 0.250, 0.750)
Mo (0.250, 0.750, 0.250)
Mo (0.250, 0.750, 0.750)
Mo (0.750, 0.250, 0.250)
Mo (0.750, 0.250, 0.750)
Mo (0.750, 0.750, 0.250)
Mo (0.750, 0.750, 0.750)
Br (0.000, 0.000, 0.500)
Br (0.000, 0.500, 0.000)
Br (0.500, 0.000, 0.000)
Br (0.500, 0.500, 0.500)

Record 11
Compound: KRbGa2Au2
Source: Alexandria
Functional: GGA-PBE
Structure: relaxed

Summary:
- Crystal system: trigonal
- Formation energy from the elements: -0.240 eV per atom

a = 4.477 Å, b = 4.477 Å, c = 10.751 Å
α = 90.00°, β = 90.00°, γ = 120.00°
Sites, in units of the cell vectors:
K (0.000, 0.000, 0.000)
Rb (0.000, 0.000, 0.500)
Ga (0.333, 0.667, 0.240)
Ga (0.667, 0.333, 0.760)
Au (0.333, 0.667, 0.759)
Au (0.667, 0.333, 0.241)

Record 12
Compound: YMoN3
Source: Alexandria
Functional: GGA-PBE
Structure: relaxed

Summary:
- Crystal system: triclinic
- E_form (uncorrected): -0.603 eV per atom

a = 3.370 Å, b = 3.860 Å, c = 5.820 Å
α = 70.81°, β = 87.33°, γ = 89.72°
Sites, in units of the cell vectors:
Y (0.000, 0.000, 0.000)
Mo (0.469, 0.320, 0.393)
N (0.423, 0.453, 0.034)
N (0.554, 0.813, 0.344)
N (0.985, 0.198, 0.573)

Record 13
Compound: TiNbPd3
Source: Alexandria
Functional: GGA-PBE
Structure: relaxed

Summary:
- Crystal system: cubic
- Relative energy among the computed polymorphs: 0.710 eV per atom
- Formation energy from the elements: 0.630 eV per atom

a = 4.600 Å, b = 4.600 Å, c = 4.600 Å
α = 90.00°, β = 90.00°, γ = 90.00°
Sites, in units of the cell vectors:
Ti (0.000, 0.000, 0.000)
Nb (0.500, 0.500, 0.500)
Pd (0.000, 0.000, 0.500)
Pd (0.000, 0.500, 0.000)
Pd (0.500, 0.000, 0.000)

Record 14
Compound: ZrSbTe2Rh
Source: Alexandria
Functional: GGA-PBE
Structure: relaxed

Summary:
- Crystal system: tetragonal
- Relative energy among the computed polymorphs: 0.370 eV per atom
- E_form (uncorrected): 0.665 eV per atom

a = 5.502 Å, b = 5.502 Å, c = 5.529 Å
α = 90.00°, β = 90.00°, γ = 90.00°
Sites, in units of the cell vectors:
Zr (0.000, 0.000, 0.000)
Sb (0.000, 0.000, 0.500)
Te (0.000, 0.500, 0.000)
Te (0.500, 0.000, 0.000)
Rh (0.500, 0.500, 0.500)

Record 15
Compound: ZnAg2TeP
Source: Alexandria
Functional: GGA-PBE
Structure: relaxed

Summary:
- Crystal system: tetragonal
- E_form (uncorrected): 0.201 eV per atom

a = 4.960 Å, b = 4.960 Å, c = 4.556 Å
α = 90.00°, β = 90.00°, γ = 90.00°
Sites, in units of the cell vectors:
Zn (0.000, 0.000, 0.000)
Ag (0.000, 0.500, 0.500)
Ag (0.500, 0.000, 0.500)
Te (0.500, 0.500, 0.000)
P (0.000, 0.000, 0.500)

Record 16
Compound: Hg2PCl
Source: Alexandria
Functional: GGA-PBE
Structure: relaxed

Summary:
- Crystal system: monoclinic
- Relative energy among the computed polymorphs: 0.249 eV per atom
- E_form (uncorrected): -0.008 eV per atom

a = 8.212 Å, b = 3.896 Å, c = 6.936 Å
α = 90.00°, β = 93.10°, γ = 90.00°
Sites, in units of the cell vectors:
Hg (0.000, 0.000, 0.000)
Hg (0.193, 0.500, 0.633)
Hg (0.500, 0.500, 0.000)
Hg (0.693, 0.000, 0.633)
P (0.280, 0.000, 0.868)
P (0.780, 0.500, 0.868)
Cl (0.002, 0.500, 0.337)
Cl (0.502, 0.000, 0.337)

Record 17
Compound: LaPmCuBi
Source: Alexandria
Functional: GGA-PBE
Structure: relaxed

Summary:
- Crystal system: cubic
- Formation energy from the elements: -0.406 eV per atom

a = 7.648 Å, b = 7.648 Å, c = 7.648 Å
α = 90.00°, β = 90.00°, γ = 90.00°
Sites, in units of the cell vectors:
La (0.000, 0.000, 0.000)
La (0.000, 0.500, 0.500)
La (0.500, 0.000, 0.500)
La (0.500, 0.500, 0.000)
Pm (0.000, 0.000, 0.500)
Pm (0.000, 0.500, 0.000)
Pm (0.500, 0.000, 0.000)
Pm (0.500, 0.500, 0.500)
Cu (0.250, 0.250, 0.750)
Cu (0.250, 0.750, 0.250)
Cu (0.750, 0.250, 0.250)
Cu (0.750, 0.750, 0.750)
Bi (0.250, 0.250, 0.250)
Bi (0.250, 0.750, 0.750)
Bi (0.750, 0.250, 0.750)
Bi (0.750, 0.750, 0.250)

Record 18
Compound: Er4Tm5Sc3
Source: Alexandria
Functional: GGA-PBE
Structure: relaxed

Summary:
- Crystal system: monoclinic
- Formation energy from the elements: 0.224 eV per atom

a = 8.363 Å, b = 8.363 Å, c = 8.988 Å
α = 115.63°, β = 115.63°, γ = 39.39°
Sites, in units of the cell vectors:
Er (0.082, 0.082, 0.441)
Er (0.215, 0.215, 0.879)
Er (0.785, 0.785, 0.121)
Er (0.918, 0.918, 0.559)
Tm (0.000, 0.000, 0.000)
Tm (0.326, 0.326, 0.622)
Tm (0.426, 0.426, 0.289)
Tm (0.574, 0.574, 0.711)
Tm (0.674, 0.674, 0.378)
Sc (0.214, 0.214, 0.235)
Sc (0.500, 0.500, 0.000)
Sc (0.786, 0.786, 0.765)

Record 19
Compound: Cs2YTaB
Source: Alexandria
Functional: GGA-PBE
Structure: relaxed

Summary:
- Crystal system: tetragonal
- Formation energy from the elements: 1.662 eV per atom

a = 7.339 Å, b = 7.339 Å, c = 4.133 Å
α = 90.00°, β = 90.00°, γ = 90.00°
Sites, in units of the cell vectors:
Cs (0.000, 0.500, 0.000)
Cs (0.500, 0.000, 0.000)
Y (0.000, 0.000, 0.500)
Ta (0.500, 0.500, 0.000)
B (0.500, 0.500, 0.500)

Record 20
Compound: FeIrCl2
Source: Alexandria
Functional: GGA-PBE
Structure: relaxed

Summary:
- Crystal system: monoclinic
- Relative energy among the computed polymorphs: 0.656 eV per atom
- E_form (uncorrected): 0.584 eV per atom

a = 3.158 Å, b = 4.065 Å, c = 5.144 Å
α = 90.00°, β = 94.74°, γ = 90.00°
Sites, in units of the cell vectors:
Fe (0.000, 0.000, 0.000)
Ir (0.500, 0.000, 0.500)
Cl (0.265, 0.500, 0.251)
Cl (0.735, 0.500, 0.749)

Record 21
Compound: CsKRb8Na2
Source: Alexandria
Functional: GGA-PBE
Structure: relaxed

Summary:
- Crystal system: monoclinic
- Formation energy from the elements: 0.045 eV per atom

a = 8.447 Å, b = 8.447 Å, c = 15.888 Å
α = 96.67°, β = 96.67°, γ = 66.27°
Sites, in units of the cell vectors:
Cs (0.000, 0.000, 0.000)
K (0.500, 0.500, 0.500)
Rb (0.145, 0.634, 0.250)
Rb (0.158, 0.158, 0.438)
Rb (0.341, 0.341, 0.951)
Rb (0.366, 0.855, 0.750)
Rb (0.634, 0.145, 0.250)
Rb (0.659, 0.659, 0.049)
Rb (0.842, 0.842, 0.562)
Rb (0.855, 0.366, 0.750)
Na (0.341, 0.341, 0.683)
Na (0.659, 0.659, 0.317)

Record 22
Compound: TbCo4Ge2
Source: Alexandria
Functional: GGA-PBE
Structure: relaxed

Summary:
- Crystal system: tetragonal
- Formation energy from the elements: -0.385 eV per atom

a = 7.280 Å, b = 7.280 Å, c = 3.691 Å
α = 90.00°, β = 90.00°, γ = 90.00°
Sites, in units of the cell vectors:
Tb (0.000, 0.000, 0.000)
Tb (0.500, 0.500, 0.500)
Co (0.080, 0.354, 0.500)
Co (0.146, 0.580, 0.000)
Co (0.354, 0.080, 0.500)
Co (0.420, 0.854, 0.000)
Co (0.580, 0.146, 0.000)
Co (0.646, 0.920, 0.500)
Co (0.854, 0.420, 0.000)
Co (0.920, 0.646, 0.500)
Ge (0.223, 0.777, 0.500)
Ge (0.277, 0.277, 0.000)
Ge (0.723, 0.723, 0.000)
Ge (0.777, 0.223, 0.500)

Record 23
Compound: CsMgZnBi2
Source: Alexandria
Functional: GGA-PBE
Structure: relaxed

Summary:
- Crystal system: tetragonal
- Formation energy from the elements: -0.256 eV per atom

a = 4.445 Å, b = 4.445 Å, c = 17.843 Å
α = 90.00°, β = 90.00°, γ = 90.00°
Sites, in units of the cell vectors:
Cs (0.000, 0.000, 0.000)
Cs (0.500, 0.500, 0.500)
Mg (0.000, 0.500, 0.250)
Mg (0.500, 0.000, 0.750)
Zn (0.000, 0.500, 0.750)
Zn (0.500, 0.000, 0.250)
Bi (0.000, 0.000, 0.357)
Bi (0.000, 0.000, 0.643)
Bi (0.500, 0.500, 0.143)
Bi (0.500, 0.500, 0.857)

Record 24
Compound: YReBi2
Source: Alexandria
Functional: GGA-PBE
Structure: relaxed

Summary:
- Crystal system: cubic
- Relative energy among the computed polymorphs: 0.000 eV per atom
- Formation energy from the elements: 0.278 eV per atom

a = 7.193 Å, b = 7.193 Å, c = 7.193 Å
α = 90.00°, β = 90.00°, γ = 90.00°
Sites, in units of the cell vectors:
Y (0.000, 0.000, 0.000)
Y (0.000, 0.500, 0.500)
Y (0.500, 0.000, 0.500)
Y (0.500, 0.500, 0.000)
Re (0.000, 0.000, 0.500)
Re (0.000, 0.500, 0.000)
Re (0.500, 0.000, 0.000)
Re (0.500, 0.500, 0.500)
Bi (0.250, 0.250, 0.250)
Bi (0.250, 0.250, 0.750)
Bi (0.250, 0.750, 0.250)
Bi (0.250, 0.750, 0.750)
Bi (0.750, 0.250, 0.250)
Bi (0.750, 0.250, 0.750)
Bi (0.750, 0.750, 0.250)
Bi (0.750, 0.750, 0.750)

Record 25
Compound: Be2Cu7SiGe2
Source: Alexandria
Functional: GGA-PBE
Structure: relaxed

Summary:
- Crystal system: monoclinic
- E_form (uncorrected): 0.074 eV per atom

a = 3.670 Å, b = 3.670 Å, c = 11.251 Å
α = 90.16°, β = 90.16°, γ = 93.73°
Sites, in units of the cell vectors:
Be (0.000, 0.000, 0.191)
Be (0.000, 0.000, 0.809)
Cu (0.000, 0.000, 0.500)
Cu (0.001, 0.501, 0.662)
Cu (0.238, 0.238, 0.999)
Cu (0.499, 0.999, 0.338)
Cu (0.501, 0.001, 0.662)
Cu (0.762, 0.762, 0.001)
Cu (0.999, 0.499, 0.338)
Si (0.500, 0.500, 0.500)
Ge (0.498, 0.498, 0.181)
Ge (0.502, 0.502, 0.819)

| no. | DOS at the Fermi energy (states/eV/f.u.) |
| --- | --- |
| 1 | 4.8 |
| 2 | 2.6 |
| 3 | 9.1 |
| 4 | 3.3 |
| 5 | 1.9 |
| 6 | 10.0 |
| 7 | 9.0 |
| 8 | 1.1 |
| 9 | 2.9 |
| 10 | 4.3 |
| 11 | 3.8 |
| 12 | 0.0 |
| 13 | 4.0 |
| 14 | 7.9 |
| 15 | 2.9 |
| 16 | 0.7 |
| 17 | 3.7 |
| 18 | 19.9 |
| 19 | 6.0 |
| 20 | 3.7 |
| 21 | 9.8 |
| 22 | 6.0 |
| 23 | 3.5 |
| 24 | 1.6 |
| 25 | 3.5 |